Record 1
Below is MnIn3Ru after structural relaxation, with properties calculated at the PBE level.

The space group is Pm-3m (No. 221) and the conventional cell measures 4.9484, 4.9484 and 4.9484 Å, with angles of 90.00, 90.00 and 90.00 degrees. Symmetry generates all atoms from Mn at (0.0000, 0.0000, 0.0000), In at (0.0000, 0.0000, 0.5000) and Ru at (0.5000, 0.5000, 0.5000).

The value obtained for the total energy is -21.8 eV per cell. As for the density of states at the Fermi level: 8.06 states/eV/cell. For the formation energy, the calculation gives 94.1 kJ per mole of atoms.

***

Record 2
Below is MnInRu2 after structural relaxation, with properties calculated at the PBE level.

The space group is R3m (No. 160, hexagonal axes) and the conventional cell measures 2.8799, 2.8799 and 26.4639 Å, with angles of 90.00, 90.00 and 120.00 degrees. Symmetry generates all atoms from Mn at (0.0000, 0.0000, 0.0000), In at (0.0000, 0.0000, 0.2431), Ru at (0.0000, 0.0000, 0.4882) and Ru at (0.0000, 0.0000, 0.7446).

The value obtained for the total energy is -87.3 eV per cell. As for the density of states at the Fermi level: 11.99 states/eV/cell. For the formation energy, the calculation gives 33.0 kJ per mole of atoms.

***

Record 3
Below is Mn2InRu after structural relaxation, with properties calculated at the PBE level.

The space group is P4/mmm (No. 123) and the conventional cell measures 3.1472, 3.1472 and 6.3186 Å, with angles of 90.00, 90.00 and 90.00 degrees. Symmetry generates all atoms from Mn at (0.0000, 0.0000, 0.2216), In at (0.5000, 0.5000, 0.5000) and Ru at (0.5000, 0.5000, 0.0000).

The value obtained for the total energy is -29.7 eV per cell. As for the density of states at the Fermi level: 3.23 states/eV/cell. For the formation energy, the calculation gives 15.5 kJ per mole of atoms.

***

Record 4
Below is MnInRu2 after structural relaxation, with properties calculated at the PBE level.

The space group is F-43m (No. 216) and the conventional cell measures 6.3152, 6.3152 and 6.3152 Å, with angles of 90.00, 90.00 and 90.00 degrees. Symmetry generates all atoms from Mn at (0.0000, 0.0000, 0.0000), In at (0.2500, 0.2500, 0.2500), Ru at (0.0000, 0.0000, 0.5000) and Ru at (0.2500, 0.2500, 0.7500).

The value obtained for the total energy is -116.8 eV per cell. As for the density of states at the Fermi level: 20.41 states/eV/cell. For the formation energy, the calculation gives 30.2 kJ per mole of atoms.

***

Record 5
Below is MnIn4Ru after structural relaxation, with properties calculated at the PBE level.

The space group is F-43m (No. 216) and the conventional cell measures 8.1109, 8.1109 and 8.1109 Å, with angles of 90.00, 90.00 and 90.00 degrees. Symmetry generates all atoms from Mn at (0.0000, 0.0000, 0.0000), In at (0.1248, 0.1248, 0.3752) and Ru at (0.2500, 0.2500, 0.7500).

The value obtained for the total energy is -99.5 eV per cell. As for the density of states at the Fermi level: 16.35 states/eV/cell. For the formation energy, the calculation gives 72.8 kJ per mole of atoms.

***

Record 6
Below is Mn2InRu2 after structural relaxation, with properties calculated at the PBE level.

The space group is P4/mbm (No. 127) and the conventional cell measures 7.1944, 7.1944 and 2.7566 Å, with angles of 90.00, 90.00 and 90.00 degrees. Symmetry generates all atoms from Mn at (0.1159, 0.3841, 0.0000), In at (0.0000, 0.0000, 0.0000) and Ru at (0.1687, 0.6687, 0.5000).

The value obtained for the total energy is -76.9 eV per cell. As for the density of states at the Fermi level: 9.15 states/eV/cell. For the formation energy, the calculation gives 23.0 kJ per mole of atoms.

***

Record 7
Below is Mn2InRu after structural relaxation, with properties calculated at the PBE level.

The space group is Imm2 (No. 44) and the conventional cell measures 3.5403, 4.2083 and 8.2331 Å, with angles of 90.00, 90.00 and 90.00 degrees. Symmetry generates all atoms from Mn at (0.0000, 0.0000, 0.0000), Mn at (0.0000, 0.5000, 0.2530), In at (0.0000, 0.0000, 0.4924) and Ru at (0.0000, 0.5000, 0.7289).

The value obtained for the total energy is -58.9 eV per cell. As for the density of states at the Fermi level: 9.40 states/eV/cell. For the formation energy, the calculation gives 21.9 kJ per mole of atoms.

***

Record 8
Below is MnInRu2 after structural relaxation, with properties calculated at the PBE level.

The space group is I-42d (No. 122) and the conventional cell measures 7.0523, 7.0523 and 5.2941 Å, with angles of 90.00, 90.00 and 90.00 degrees. Symmetry generates all atoms from Mn at (0.0000, 0.0000, 0.0000), In at (0.0000, 0.0000, 0.5000) and Ru at (0.1885, 0.7500, 0.1250).

The value obtained for the total energy is -113.0 eV per cell. As for the density of states at the Fermi level: 16.08 states/eV/cell. For the formation energy, the calculation gives 53.1 kJ per mole of atoms.

***

Record 9
Below is MnInRu2 after structural relaxation, with properties calculated at the PBE level.

The space group is P4mm (No. 99) and the conventional cell measures 2.8572, 2.8572 and 7.7863 Å, with angles of 90.00, 90.00 and 90.00 degrees. Symmetry generates all atoms from Mn at (0.0000, 0.0000, 0.0000), In at (0.5000, 0.5000, 0.7165), Ru at (0.0000, 0.0000, 0.4496) and Ru at (0.5000, 0.5000, 0.2375).

The value obtained for the total energy is -29.8 eV per cell. As for the density of states at the Fermi level: 3.07 states/eV/cell. For the formation energy, the calculation gives 16.0 kJ per mole of atoms.

***

Record 10
Below is UMnInRu after structural relaxation, with properties calculated at the PBE level.

The space group is F-43m (No. 216) and the conventional cell measures 6.5841, 6.5841 and 6.5841 Å, with angles of 90.00, 90.00 and 90.00 degrees. Symmetry generates all atoms from U at (0.0000, 0.0000, 0.0000), Mn at (0.2500, 0.2500, 0.2500), In at (0.0000, 0.0000, 0.5000) and Ru at (0.2500, 0.2500, 0.7500).

The value obtained for the total energy is -129.4 eV per cell. As for the density of states at the Fermi level: 35.86 states/eV/cell. For the formation energy, the calculation gives 3.0 kJ per mole of atoms.

***

Record 11
Below is MnVInRu after structural relaxation, with properties calculated at the PBE level.

The space group is F-43m (No. 216) and the conventional cell measures 6.1852, 6.1852 and 6.1852 Å, with angles of 90.00, 90.00 and 90.00 degrees. Symmetry generates all atoms from Mn at (0.0000, 0.0000, 0.0000), V at (0.2500, 0.2500, 0.2500), In at (0.2500, 0.2500, 0.7500) and Ru at (0.0000, 0.0000, 0.5000).

The value obtained for the total energy is -120.7 eV per cell. As for the density of states at the Fermi level: 12.10 states/eV/cell. For the formation energy, the calculation gives 2.8 kJ per mole of atoms.

***

Record 12
Below is MnInS2 after structural relaxation, with properties calculated at the PBE level.

The space group is R3m (No. 160, hexagonal axes) and the conventional cell measures 4.0100, 4.0100 and 21.3830 Å, with angles of 90.00, 90.00 and 120.00 degrees. Symmetry generates all atoms from Mn at (0.0000, 0.0000, 0.0000), In at (0.0000, 0.0000, 0.4963), S at (0.0000, 0.0000, 0.3678) and S at (0.0000, 0.0000, 0.8912).

The value obtained for the total energy is -65.3 eV per cell. As for the density of states at the Fermi level: 3.23 states/eV/cell. The calculation puts the formation energy from raw total energies at -1.589 eV/f.u.